1.
Material: La2Pr2Ho5
Method: DFT, PBE
State: optimized geometry

## Properties
Size of the total moment (μB/atom): 0.000
E above lowest polymorph (eV per atom): 0.049
Volume (Å³/cell): 615.7
Energy of formation from the pure elements (meV/atom): 191

POSCAR file:
```
La2Pr2Ho5
1.0
12.0488 0.0000 0.0000
0.0000 6.7706 0.0000
-6.0244 -3.3853 7.5469
La Pr Ho
4 4 10
direct
0.1285 0.6867 0.2535
0.8715 0.4332 0.7465
0.6250 0.1867 0.2535
0.3750 0.9332 0.7465
0.0000 0.0191 0.0000
0.5000 0.5191 0.0000
0.2562 0.3513 0.5000
0.7438 0.8513 0.5000
0.2019 0.6480 0.8935
0.7981 0.7546 0.1065
0.1916 0.1480 0.8935
0.8084 0.2546 0.1065
0.3740 0.0329 0.2849
0.6260 0.7480 0.7151
0.4109 0.5329 0.2849
0.5891 0.2480 0.7151
0.0111 0.6622 0.5000
0.9889 0.1622 0.5000
```

---

2.
Material: La3Pr5Ho2
Method: DFT, PBE
State: optimized geometry

## Properties
Size of the total moment (μB/atom): 0.000
Volume (Å³/cell): 713.4
Energy of formation from the pure elements (meV/atom): 156

POSCAR file:
```
La3Pr5Ho2
1.0
9.6733 -2.0582 -2.7368
-3.3296 9.1942 -2.9336
-0.7303 -0.6344 9.2585
La Pr Ho
6 10 4
direct
0.2730 0.0230 0.0461
0.7270 0.9770 0.9539
0.5250 0.4669 0.2479
0.4750 0.5331 0.7521
0.2230 0.7810 0.2479
0.7770 0.2190 0.7521
0.2292 0.4792 0.9583
0.7708 0.5208 0.0417
0.9773 0.7273 0.4547
0.4820 0.2320 0.4641
0.0227 0.2727 0.5453
0.5180 0.7680 0.5359
0.8842 0.6200 0.7462
0.1158 0.3800 0.2538
0.3620 0.1262 0.7462
0.6380 0.8738 0.2538
0.9684 0.0229 0.7480
0.0316 0.9771 0.2520
0.2796 0.7251 0.7480
0.7204 0.2749 0.2520
```

---

3.
Material: La4PrHo3
Method: DFT, PBE
State: optimized geometry

## Properties
Size of the total moment (μB/atom): 0.000
E above lowest polymorph (eV per atom): 0.085
Volume (Å³/cell): 276.4
Energy of formation from the pure elements (meV/atom): 118

POSCAR file:
```
La4PrHo3
1.0
-2.8399 -2.0263 0.5309
6.0948 -6.5006 7.7913
-3.5826 8.2822 0.7189
Pr Ho La
1 3 4
direct
0.5000 0.0000 0.0000
0.0000 0.5000 0.0000
0.7619 0.7618 0.5238
0.2381 0.2382 0.4762
0.6333 0.3840 0.2666
0.3667 0.6160 0.7334
0.3666 0.1171 0.7332
0.6334 0.8829 0.2668
```